{
  "formula": "Te2AsP",
  "functional": "PBE",
  "state": "optimized geometry",
  "de_polymorph_ev_per_atom": 0.192,
  "density_g_cm3": 4.9,
  "raw_formation_energy_mev_per_atom": 328.0,
  "lattice": [[-2.360, 1.598, -1.079], [-1.686, -0.884, 2.380], [4.056, 10.582, 6.803]],
  "species": ["As", "P", "Te", "Te"],
  "fractional_positions": [[0.000, 0.000, 0.576], [0.500, 0.500, 0.674], [0.000, 0.000, 0.959], [0.500, 0.500, 0.292]]
}